{"formula": "NpAl2Fe", "functional": "PBE-GGA", "state": "relaxed", "lattice": [[2.891, 0.000, 0.000], [0.000, 2.891, 0.000], [0.000, 0.000, 7.520]], "species": ["Np", "Al", "Al", "Fe"], "frac_coords": [[0.000, 0.000, 0.000], [0.500, 0.500, 0.318], [0.500, 0.500, 0.682], [0.000, 0.000, 0.500]], "dos_at_fermi_per_ev_cell": 6.22, "total_energy_ev_per_atom": -7.391, "density_g_cm3": 9.2, "ef_ev_per_fu": -0.67, "total_magnetization_mub_per_cell": 4.00}